# 1
K2FeIr: relaxed, PBE-GGA.

Lattice parameters (Å, degrees): 3.827 5.684 10.876 90.00 90.00 90.00
Fractional coordinates of all 8 atoms:
K: 0.000 0.000 0.000
K: 0.000 0.500 0.204
K: 0.500 0.000 0.704
K: 0.500 0.500 0.500
Fe: 0.000 0.500 0.801
Fe: 0.500 0.000 0.301
Ir: 0.000 0.000 0.421
Ir: 0.500 0.500 0.921

## Properties
E	-4.174	eV/atom
formation energy from the elements	706	meV per atom
calculated volume	236.54	Å³ per cell

=====

# 2
K2FeIr: relaxed, PBE-GGA.

Lattice parameters (Å, degrees): 7.159 4.123 9.657 90.00 102.02 90.00
Fractional coordinates of all 8 atoms:
K: 0.000 0.000 0.000
K: 0.145 0.000 0.519
K: 0.500 0.500 0.000
K: 0.645 0.500 0.519
Fe: 0.406 0.000 0.259
Fe: 0.906 0.500 0.259
Ir: 0.239 0.500 0.259
Ir: 0.739 0.000 0.259

## Properties
E	-4.385	eV/atom
formation energy from the elements	495	meV per atom
calculated volume	278.82	Å³ per cell

=====

# 3
KFeIr: relaxed, PBE-GGA.

Lattice parameters (Å, degrees): 7.857 4.175 7.238 90.00 90.00 90.00
Fractional coordinates of all 12 atoms:
K: 0.005 0.250 0.146
K: 0.495 0.750 0.646
K: 0.505 0.250 0.354
K: 0.995 0.750 0.854
Fe: 0.147 0.750 0.423
Fe: 0.353 0.250 0.923
Fe: 0.647 0.750 0.077
Fe: 0.853 0.250 0.577
Ir: 0.146 0.250 0.575
Ir: 0.354 0.750 0.075
Ir: 0.646 0.250 0.925
Ir: 0.854 0.750 0.425

## Properties
E	-5.374	eV/atom
formation energy from the elements	767	meV per atom
calculated volume	237.42	Å³ per cell

=====

# 4
KFe4Ir: relaxed, PBE-GGA.

Lattice parameters (Å, degrees): 5.047 5.047 5.047 60.00 60.00 60.00
Fractional coordinates of all 6 atoms:
K: 0.000 0.000 0.000
Fe: 0.128 0.624 0.624
Fe: 0.624 0.128 0.624
Fe: 0.624 0.624 0.128
Fe: 0.624 0.624 0.624
Ir: 0.250 0.250 0.250

## Properties
E	-6.541	eV/atom
formation energy from the elements	761	meV per atom
calculated volume	90.88	Å³ per cell

=====

# 5
KFeIr: relaxed, PBE-GGA.

Lattice parameters (Å, degrees): 11.535 3.948 8.018 90.00 127.85 90.00
Fractional coordinates of all 12 atoms:
K: 0.000 0.000 0.000
K: 0.164 0.000 0.760
K: 0.500 0.500 0.000
K: 0.664 0.500 0.760
Fe: 0.329 0.000 0.473
Fe: 0.459 0.000 0.321
Fe: 0.829 0.500 0.473
Fe: 0.959 0.500 0.321
Ir: 0.195 0.500 0.435
Ir: 0.334 0.500 0.276
Ir: 0.695 0.000 0.435
Ir: 0.834 0.000 0.276

## Properties
E	-5.577	eV/atom
formation energy from the elements	564	meV per atom
calculated volume	288.34	Å³ per cell

=====

# 6
KFeIr: relaxed, PBE-GGA.

Lattice parameters (Å, degrees): 6.532 6.532 6.532 90.00 90.00 90.00
Fractional coordinates of all 12 atoms:
K: 0.000 0.000 0.000
K: 0.000 0.500 0.500
K: 0.500 0.000 0.500
K: 0.500 0.500 0.000
Fe: 0.250 0.250 0.250
Fe: 0.250 0.750 0.750
Fe: 0.750 0.250 0.750
Fe: 0.750 0.750 0.250
Ir: 0.250 0.250 0.750
Ir: 0.250 0.750 0.250
Ir: 0.750 0.250 0.250
Ir: 0.750 0.750 0.750

## Properties
E	-3.861	eV/atom
formation energy from the elements	2279	meV per atom
calculated volume	278.67	Å³ per cell